{
  "formula": "Cr2MoRu2",
  "functional": "GGA-PBE",
  "state": "relaxed",
  "lattice_angstrom": [[7.040, 0.000, 0.000], [0.000, 7.040, 0.000], [0.000, 0.000, 2.773]],
  "species": ["Ru", "Ru", "Ru", "Ru", "Mo", "Mo", "Cr", "Cr", "Cr", "Cr"],
  "fractional_positions": [[0.158, 0.658, 0.500], [0.658, 0.842, 0.500], [0.842, 0.342, 0.500], [0.342, 0.158, 0.500], [0.000, 0.000, 0.000], [0.500, 0.500, 0.000], [0.359, 0.859, 0.000], [0.859, 0.641, 0.000], [0.641, 0.141, 0.000], [0.141, 0.359, 0.000]],
  "crystal_system": "tetragonal",
  "de_polymorph_mev_per_atom": 0.0
}